# 1
## La2CoHPd (PBE)

Data for a relaxed structure of La2CoHPd.

Structure (CIF):
```
data_La2CoHPd
_cell_length_a 5.168
_cell_length_b 5.168
_cell_length_c 3.554
_cell_angle_alpha 90.00
_cell_angle_beta 90.00
_cell_angle_gamma 90.00
_symmetry_space_group_name_H-M 'P 4/m m m'
_symmetry_Int_Tables_number 123
_symmetry_space_group_name_Hall '-P 4 2'
loop_
_atom_site_label
_atom_site_fract_x
_atom_site_fract_y
_atom_site_fract_z
La1 0.000 0.500 0.000
Co1 0.000 0.000 0.500
H1 0.000 0.000 0.000
Pd1 0.500 0.500 0.500
```

=====

# 2
## LaCoH6Pt (PBE)

Data for a relaxed structure of LaCoH6Pt.

Structure (CIF):
```
data_LaCoH6Pt
_cell_length_a 4.6695
_cell_length_b 4.6695
_cell_length_c 4.3034
_cell_angle_alpha 90.00
_cell_angle_beta 90.00
_cell_angle_gamma 120.00
_symmetry_space_group_name_H-M 'P -6 m 2'
_symmetry_Int_Tables_number 187
_symmetry_space_group_name_Hall 'P -6 2'
loop_
_atom_site_label
_atom_site_fract_x
_atom_site_fract_y
_atom_site_fract_z
La1 0.0000 0.0000 0.0000
Co1 0.6667 0.3333 0.5000
H1 0.5147 0.0294 0.2485
Pt1 0.3333 0.6667 0.5000
```

=====

# 3
## La2CoH6Pt (PBE)

Data for a relaxed structure of La2CoH6Pt.

Structure (CIF):
```
data_La2CoH6Pt
_cell_length_a 7.180
_cell_length_b 7.695
_cell_length_c 7.726
_cell_angle_alpha 90.00
_cell_angle_beta 90.00
_cell_angle_gamma 90.00
_symmetry_space_group_name_H-M 'F m m m'
_symmetry_Int_Tables_number 69
_symmetry_space_group_name_Hall '-F 2 2'
loop_
_atom_site_label
_atom_site_fract_x
_atom_site_fract_y
_atom_site_fract_z
La1 0.250 0.250 0.250
Co1 0.000 0.000 0.000
H1 0.000 0.000 0.211
H2 0.000 0.212 0.000
H3 0.239 0.000 0.000
Pt1 0.000 0.000 0.500
```

=====

Here are the calculated VASP energy numbers, same order: -0.2031; -0.1693; -0.1771 (hartree per atom).